Record 1
The following is a DFT calculation (PBE) of a relaxed KGe12Pd4 crystal.

Lattice parameters (Å, degrees): 8.7766 8.7766 8.7766 90.00 90.00 90.00
Space group Im-3 (No. 204)
Symmetry-distinct sites (fractional):
K (0.0000, 0.0000, 0.0000)
Ge (0.0000, 0.1507, 0.3549)
Pd (0.2500, 0.2500, 0.2500)

Summary:
For the total moment, the calculation gives 0.00 μB per formula unit. The value obtained for the formation enthalpy at 0 K is -148 meV per atom. The crystal system is cubic.

Record 2
The following is a DFT calculation (PBE) of a relaxed NdEr4Th crystal.

Lattice parameters (Å, degrees): 9.2675 9.2675 9.2675 90.00 90.00 90.00
Space group F-43m (No. 216)
Symmetry-distinct sites (fractional):
Nd (0.0000, 0.0000, 0.0000)
Er (0.1245, 0.1245, 0.3755)
Th (0.2500, 0.2500, 0.7500)

Summary:
Its energy above the lowest structure with this stoichiometry is 305.6 meV per atom. For the total moment, the calculation gives 3.69 μB per formula unit. The value obtained for the formation enthalpy at 0 K is 328 meV per atom. The crystal system is cubic.

Record 3
The following is a DFT calculation (PBE) of a relaxed NaLaPCl2 crystal.

Lattice parameters (Å, degrees): 5.6015 5.6015 5.5969 90.00 90.00 90.00
Space group P4/mmm (No. 123)
Symmetry-distinct sites (fractional):
Na (0.0000, 0.0000, 0.0000)
La (0.5000, 0.5000, 0.5000)
P (0.5000, 0.5000, 0.0000)
Cl (0.0000, 0.5000, 0.5000)

Summary:
Its energy above the lowest structure with this stoichiometry is 0.0 meV per atom. The energy relative to the elements, uncorrected is -27.64 kcal/mol of atoms. For the total moment, the calculation gives 0.69 μB per formula unit. The crystal system is tetragonal.

Record 4
The following is a DFT calculation (PBE) of a relaxed CaSbO2F crystal.

Lattice parameters (Å, degrees): 4.4147 4.4147 4.0837 90.00 90.00 90.00
Space group P4/mmm (No. 123)
Symmetry-distinct sites (fractional):
Ca (0.0000, 0.0000, 0.0000)
Sb (0.5000, 0.5000, 0.5000)
O (0.0000, 0.5000, 0.0000)
F (0.0000, 0.0000, 0.5000)

Summary:
The energy relative to the elements, uncorrected is -31.98 kcal/mol of atoms. For the total moment, the calculation gives 0.00 μB per formula unit. The crystal system is tetragonal.

Record 5
The following is a DFT calculation (PBE) of a relaxed SmCo5P3 crystal.

Lattice parameters (Å, degrees): 3.6047 11.3755 11.3453 90.00 90.00 90.00
Space group Cmcm (No. 63)
Symmetry-distinct sites (fractional):
Sm (0.0000, 0.1595, 0.2500)
Co (0.0000, 0.0000, 0.0000)
Co (0.0000, 0.1989, 0.5698)
Co (0.0000, 0.4460, 0.1428)
P (0.0000, 0.1103, 0.7500)
P (0.0000, 0.3832, 0.5397)

Summary:
Its energy above the lowest structure with this stoichiometry is 21.4 meV per atom. For the total moment, the calculation gives 0.00 μB per formula unit. The value obtained for the formation enthalpy at 0 K is -784 meV per atom. The crystal system is orthorhombic.

Record 6
The following is a DFT calculation (PBE) of a relaxed AcInC crystal.

Lattice parameters (Å, degrees): 9.2364 4.3280 9.5309 90.00 107.20 90.00
Space group Cm (No. 8)
Symmetry-distinct sites (fractional):
Ac (0.0000, 0.0000, 0.0000)
Ac (0.1721, 0.0000, 0.5895)
In (0.0383, 0.5000, 0.2961)
In (0.3442, 0.5000, 0.2974)
C (0.1374, 0.5000, 0.0963)
C (0.2614, 0.5000, 0.5010)

Summary:
For the total moment, the calculation gives 0.00 μB per formula unit. The value obtained for the formation enthalpy at 0 K is 566 meV per atom. The crystal system is monoclinic.

Record 7
The following is a DFT calculation (PBE) of a relaxed Si2TcAg crystal.

Lattice parameters (Å, degrees): 8.1652 3.0278 5.1352 90.00 98.92 90.00
Space group C2/m (No. 12)
Symmetry-distinct sites (fractional):
Si (0.2314, 0.0000, 0.1860)
Tc (0.0000, 0.5000, 0.0000)
Ag (0.0000, 0.0000, 0.5000)

Summary:
Its energy above the lowest structure with this stoichiometry is 90.9 meV per atom. The energy relative to the elements, uncorrected is 0.77 kcal/mol of atoms. For the total moment, the calculation gives 0.00 μB per formula unit. The crystal system is monoclinic.

Record 8
The following is a DFT calculation (PBE) of a relaxed Mg2Al2Cr crystal.

Lattice parameters (Å, degrees): 6.5501 6.5501 4.2971 90.00 90.00 90.00
Space group P4/mbm (No. 127)
Symmetry-distinct sites (fractional):
Mg (0.1725, 0.3275, 0.0000)
Al (0.1457, 0.6457, 0.5000)
Cr (0.0000, 0.0000, 0.5000)

Summary:
For the total moment, the calculation gives 0.00 μB per formula unit. The value obtained for the formation enthalpy at 0 K is 396 meV per atom. The crystal system is tetragonal.

Result set for total DFT energy (no corrections): -159.6; -113.9; -21.3; -24.8; -254.1; -57.5; -47.9; -36.6 eV/cell, one per record in the order listed.
Result set for calculated volume: 338; 199; 176; 80; 116; 91; 63; 92 Å³/f.u., one per record in the order listed.